(1)
Here is NdLuPuMg after structural relaxation from Alexandria via LeMat-Bulk. Energies are from GGA-PBE.

Properties
* V: 29.035 Å³/atom
* E_form: 0.65 eV per formula unit

a b c (Å): 7.745 7.745 7.745
angles (deg): 90.00 90.00 90.00
Space group F-43m (No. 216)
Asymmetric unit:
Nd 0.000 0.000 0.000 [4 per cell]
Lu 0.000 0.000 0.500 [4 per cell]
Pu 0.250 0.250 0.750 [4 per cell]
Mg 0.250 0.250 0.250 [4 per cell]

---

(2)
Here is SrCrIn2Hg after structural relaxation from Alexandria via LeMat-Bulk. Energies are from GGA-PBE.

Properties
* V: 36.216 Å³/atom
* E_form: 3.02 eV per formula unit

a b c (Å): 5.473 5.473 6.044
angles (deg): 90.00 90.00 90.00
Space group P4/mmm (No. 123)
Asymmetric unit:
Sr 0.000 0.000 0.000 [1 per cell]
Cr 0.500 0.500 0.000 [1 per cell]
In 0.000 0.500 0.500 [2 per cell]
Hg 0.000 0.000 0.500 [1 per cell]

---

(3)
Here is CeEr3Rh2 after structural relaxation from Alexandria via LeMat-Bulk. Energies are from GGA-PBE.

Properties
* V: 26.562 Å³/atom
* E_form: -3.41 eV per formula unit

a b c (Å): 6.758 13.448 7.015
angles (deg): 90.00 90.00 90.00
Space group Ibam (No. 72)
Asymmetric unit:
Ce 0.000 0.000 0.000 [4 per cell]
Er 0.000 0.242 0.250 [8 per cell]
Er 0.000 0.500 0.250 [4 per cell]
Rh 0.230 0.368 0.000 [8 per cell]

---

(4)
Here is SiTc2Ru after structural relaxation from Alexandria via LeMat-Bulk. Energies are from GGA-PBE.

Properties
* V: 13.923 Å³/atom
* energy relative to the elements, uncorrected: -193 meV/atom

a b c (Å): 2.779 3.978 5.223
angles (deg): 90.00 105.29 90.00
Space group Pm (No. 6)
Asymmetric unit:
Si 0.000 0.000 0.000 [1 per cell]
Tc 0.248 0.000 0.493 [1 per cell]
Tc 0.605 0.500 0.212 [1 per cell]
Ru 0.872 0.500 0.738 [1 per cell]

---

(5)
Here is OsPbSe2 after structural relaxation from Alexandria via LeMat-Bulk. Energies are from GGA-PBE.

Properties
* V: 24.401 Å³/atom
* energy relative to the elements, uncorrected: 245 meV/atom

a b c (Å): 3.7392 3.7392 24.1830
angles (deg): 90.00 90.00 120.00
Space group R3m (No. 160, hexagonal axes)
Asymmetric unit:
Os 0.0000 0.0000 0.0000 [3 per cell]
Pb 0.0000 0.0000 0.2451 [3 per cell]
Se 0.0000 0.0000 0.5060 [3 per cell]
Se 0.0000 0.0000 0.7121 [3 per cell]

---

(6)
Here is Sr2NdSb3Rh4 after structural relaxation from Alexandria via LeMat-Bulk. Energies are from GGA-PBE.

Properties
* V: 23.431 Å³/atom
* energy relative to the elements, uncorrected: -753 meV/atom

a b c (Å): 4.547 4.547 11.334
angles (deg): 90.00 90.00 90.00
Space group P-4m2 (No. 115)
Asymmetric unit:
Sr 0.000 0.500 0.231 [2 per cell]
Nd 0.000 0.000 0.500 [1 per cell]
Sb 0.000 0.500 0.876 [2 per cell]
Sb 0.500 0.500 0.500 [1 per cell]
Rh 0.000 0.000 0.000 [1 per cell]
Rh 0.000 0.500 0.647 [2 per cell]
Rh 0.500 0.500 0.000 [1 per cell]

---

(7)
Here is Ac3Sc after structural relaxation from Alexandria via LeMat-Bulk. Energies are from GGA-PBE.

Properties
* V: 41.099 Å³/atom
* E_form: 1.17 eV per formula unit

a b c (Å): 3.731 3.770 11.688
angles (deg): 90.00 90.00 90.00
Space group Pmm2 (No. 25)
Asymmetric unit:
Ac 0.000 0.000 0.000 [1 per cell]
Ac 0.000 0.500 0.294 [1 per cell]
Ac 0.500 0.500 0.749 [1 per cell]
Sc 0.500 0.000 0.499 [1 per cell]

---

(8)
Here is NbTeHPd after structural relaxation from Alexandria via LeMat-Bulk. Energies are from GGA-PBE.

Properties
* V: 16.405 Å³/atom
* E: -5.553 eV per atom

a b c (Å): 3.348 3.350 7.019
angles (deg): 76.30 76.32 60.07
Space group P1 (No. 1)
Asymmetric unit:
Nb 0.000 0.000 0.000 [1 per cell]
Te 0.429 0.430 0.708 [1 per cell]
H 0.277 0.281 0.173 [1 per cell]
Pd 0.562 0.562 0.310 [1 per cell]

---

(9)
Here is Dy4ErSc3 after structural relaxation from Alexandria via LeMat-Bulk. Energies are from GGA-PBE.

Properties
* V: 28.499 Å³/atom
* E_form: 0.41 eV per formula unit

a b c (Å): 11.804 6.886 5.953
angles (deg): 90.00 109.56 90.00
Space group C2/m (No. 12)
Asymmetric unit:
Dy 0.248 0.000 0.495 [4 per cell]
Dy 0.250 0.250 0.000 [4 per cell]
Er 0.000 0.500 0.000 [2 per cell]
Sc 0.000 0.000 0.000 [2 per cell]
Sc 0.000 0.248 0.500 [4 per cell]

---

(10)
Here is Th2ZrGa after structural relaxation from Alexandria via LeMat-Bulk. Energies are from GGA-PBE.

Properties
* V: 25.806 Å³/atom
* E_form: -0.67 eV per formula unit

a b c (Å): 4.698 4.698 4.676
angles (deg): 90.00 90.00 90.00
Space group P4/mmm (No. 123)
Asymmetric unit:
Th 0.000 0.500 0.000 [2 per cell]
Zr 0.000 0.000 0.500 [1 per cell]
Ga 0.500 0.500 0.500 [1 per cell]

---

(11)
Here is Tl2HN after structural relaxation from Alexandria via LeMat-Bulk. Energies are from GGA-PBE.

Properties
* V: 19.493 Å³/atom
* E: -3.339 eV per atom

a b c (Å): 5.164 5.164 11.698
angles (deg): 90.00 90.00 90.00
Space group I-42d (No. 122)
Asymmetric unit:
Tl 0.249 0.250 0.125 [8 per cell]
H 0.000 0.000 0.000 [4 per cell]
N 0.000 0.000 0.500 [4 per cell]

---

(12)
Here is K3Sr2S2Br3 after structural relaxation from Alexandria via LeMat-Bulk. Energies are from GGA-PBE.

Properties
* V: 41.628 Å³/atom
* energy relative to the elements, uncorrected: -1694 meV/atom

a b c (Å): 5.403 5.403 28.522
angles (deg): 90.00 90.00 90.00
Space group I4/mmm (No. 139)
Asymmetric unit:
K 0.000 0.000 0.000 [2 per cell]
K 0.000 0.000 0.390 [4 per cell]
Sr 0.000 0.500 0.250 [4 per cell]
S 0.000 0.000 0.283 [4 per cell]
Br 0.000 0.000 0.119 [4 per cell]
Br 0.000 0.000 0.500 [2 per cell]

---

no.,theoretical density (g/cm³)
1,8.400
2,5.226
3,8.833
4,9.695
5,9.448
6,7.770
7,7.333
8,8.298
9,6.935
10,10.055
11,9.025
12,2.379